Record 1
This record from Alexandria describes crystalline TeOs2W at its relaxed geometry. The functional is PBE.

Results
Its raw formation energy is 0.715 eV per atom. The density of states at the Fermi level is 0.91 states/eV/atom.

Geometry as extended XYZ:
```
4
Lattice="1.4819 0.8556 8.7314 -1.4819 0.8556 8.7314 0.0000 -1.7112 8.7314" Properties=species:S:1:pos:R:3 pbc="T T T"
Te 0.0000 0.0000 0.0000
Os 0.0000 0.0000 6.5378
Os 0.0000 0.0000 13.1594
W 0.0000 0.0000 19.7752
```


Record 2
This record from Alexandria describes crystalline TiNi2H4 at its relaxed geometry. The functional is PBE.

Results
The value obtained for the electronic total energy is -68.11 eV/cell. The density of states at the Fermi level is 0.63 states/eV/atom.

Geometry as extended XYZ:
```
14
Lattice="5.0622 0.0000 0.0000 -2.4533 4.5283 0.0000 -2.4487 -1.6046 4.2843" Properties=species:S:1:pos:R:3 pbc="T T T"
Ti 0.0000 0.0000 0.0000
Ti 0.0468 -0.0726 3.2414
Ni -1.3564 2.2650 1.5659
Ni -2.4082 1.3286 3.7704
Ni 2.5027 -0.0371 1.5804
Ni 1.2035 2.1523 1.7415
H -3.2211 2.7015 3.2147
H -1.5193 0.8994 2.5036
H 0.8325 -0.4692 1.5967
H 0.9537 1.6042 0.1750
H -0.0888 2.9319 2.3597
H 1.0973 3.4904 0.7162
H 3.4304 0.9176 0.4603
H 0.9503 1.2190 4.2495
```


Record 3
This record from Alexandria describes crystalline KRb2Na at its relaxed geometry. The functional is PBE.

Results
The distance to the lowest polymorph of the same formula is 14 meV per atom. The calculation puts the formation energy from the elements at 36 meV/atom. The density of states at the Fermi level is 0.75 states/eV/atom.

Geometry as extended XYZ:
```
4
Lattice="7.7715 -3.7099 0.0000 7.7715 3.7099 0.0000 -1.7209 0.0000 4.9219" Properties=species:S:1:pos:R:3 pbc="T T T"
K 0.0000 0.0000 0.0000
Rb 2.9170 -0.0453 3.8056
Rb 10.9051 -0.0453 1.1164
Na 6.9110 0.0350 2.4610
```